Run w
# LiIn5 | Alexandria | SCAN | single point on PBEsol structure
data_LiIn5
_chemical_formula_sum 'Li1 In5'
_symmetry_space_group_name_H-M 'P 1'
_symmetry_Int_Tables_number 1
_cell_length_a 6.026
_cell_length_b 6.026
_cell_length_c 7.999
_cell_angle_alpha 109.44
_cell_angle_beta 109.44
_cell_angle_gamma 31.86
loop_
_symmetry_equiv_pos_as_xyz
'x,y,z'
loop_
_atom_site_label
_atom_site_type_symbol
_atom_site_fract_x
_atom_site_fract_y
_atom_site_fract_z
Li1 Li 0.000 0.000 0.000
In1 In 0.033 0.033 0.607
In2 In 0.321 0.321 0.688
In3 In 0.405 0.405 0.256
In4 In 0.684 0.684 0.332
In5 In 0.711 0.711 0.948
# SG = Cm (8)


Run x
# LiIn5 | Alexandria | SCAN | single point on PBEsol structure
data_LiIn5
_chemical_formula_sum 'Li1 In5'
_symmetry_space_group_name_H-M 'P 1'
_symmetry_Int_Tables_number 1
_cell_length_a 3.347
_cell_length_b 5.131
_cell_length_c 8.398
_cell_angle_alpha 90.00
_cell_angle_beta 92.09
_cell_angle_gamma 90.00
loop_
_symmetry_equiv_pos_as_xyz
'x,y,z'
loop_
_atom_site_label
_atom_site_type_symbol
_atom_site_fract_x
_atom_site_fract_y
_atom_site_fract_z
Li1 Li 0.000 0.000 0.000
In1 In 0.043 0.500 0.433
In2 In 0.484 0.000 0.669
In3 In 0.508 0.500 0.096
In4 In 0.528 0.000 0.307
In5 In 0.986 0.500 0.787
# SG = Pm (6)


Most stable of them? run x.